The following is a DFT calculation (GGA+U) of a geometry-optimized Ba2MnIO6 structure.

Unit cell a=8.395 b=8.395 c=8.395 alpha=90.00 beta=90.00 gamma=90.00
Space group Fm-3m (No. 225)
Unique sites:
Ba1 0.250 0.250 0.250
Mn1 0.000 0.000 0.000
I1 0.000 0.000 0.500
O1 0.000 0.000 0.257

As for the crystal system: cubic. For the raw total energy, the calculation gives -239.37 eV for the cell shown.